Material: CsNa2CuPb
Method: DFT, PBE-GGA
State: optimized geometry

a b c (Å): 5.887 5.887 5.127
angles (deg): 90.00 90.00 90.00
Space group P4/mmm (No. 123)
Asymmetric unit:
Cs (0.000, 0.000, 0.000)
Na (0.000, 0.500, 0.500)
Cu (0.500, 0.500, 0.500)
Pb (0.500, 0.500, 0.000)

Properties
Magnetization = 0.00 μB per formula unit
ρ = 4.20 g cm⁻³
E_tot = -2.190 eV per atom
Formation energy = 69 meV/atom

=====

Material: CsRbNa2Cu
Method: DFT, PBE-GGA
State: optimized geometry

a b c (Å): 6.112 6.112 6.626
angles (deg): 90.00 90.00 90.00
Space group P4/mmm (No. 123)
Asymmetric unit:
Cs (0.000, 0.000, 0.000)
Rb (0.500, 0.500, 0.000)
Na (0.000, 0.500, 0.500)
Cu (0.500, 0.500, 0.500)

Properties
Magnetization = 0.00 μB per formula unit
ρ = 2.20 g cm⁻³
E_tot = -1.480 eV per atom
Formation energy = 231 meV/atom

=====

Material: Cs2RbNaCu
Method: DFT, PBE-GGA
State: optimized geometry

a b c (Å): 7.058 7.058 6.893
angles (deg): 90.00 90.00 90.00
Space group P4/mmm (No. 123)
Asymmetric unit:
Cs (0.000, 0.500, 0.000)
Rb (0.000, 0.000, 0.500)
Na (0.500, 0.500, 0.500)
Cu (0.000, 0.000, 0.000)

Properties
Magnetization = 0.14 μB per formula unit
ρ = 2.12 g cm⁻³
E_tot = -1.400 eV per atom
Formation energy = 218 meV/atom